This record from the Alexandria database describes LaDy2In after structural relaxation. The functional is PBE.

* ΔH_f (0 K): -0.23 eV per atom
* spin magnetization: 0.00 μB/atom
* space-group type: P4/mmm (123)

abc: 3.6364 3.6364 9.2312
angles: 90.00 90.00 90.00
Positions (direct):
La: 0.5000 0.5000 0.5000
In: 0.5000 0.5000 0.0000
Dy: 0.0000 0.0000 0.7804
Dy: 0.0000 0.0000 0.2196

=====

This record from the Alexandria database describes ZnReSb after structural relaxation. The functional is PBE.

* spin magnetization: 0.00 μB/atom
* space-group type: I4mm (107)
* formation energy from raw total energies: 0.26 eV/atom

abc: 4.9414 4.9414 4.9414
angles: 139.61 139.61 58.44
Positions (direct):
Re: 0.0006 0.0006 0.0000
Sb: 0.3383 0.3383 0.0000
Zn: 0.6611 0.6611 0.0000

=====

This record from the Alexandria database describes Al2NiSnI after structural relaxation. The functional is PBE.

* spin magnetization: 0.05 μB/atom
* space-group type: P4/mmm (123)
* formation energy from raw total energies: 0.61 eV/atom

abc: 5.4898 4.7927 5.4898
angles: 90.00 90.00 90.00
Positions (direct):
I: 0.5000 0.5000 0.5000
Ni: 0.0000 0.5000 0.0000
Sn: 0.0000 0.0000 0.0000
Al: 0.0000 0.0000 0.5000
Al: 0.5000 0.0000 0.0000

=====

This record from the Alexandria database describes Dy2YEr6Sc3 after structural relaxation. The functional is PBE.

* ΔH_f (0 K): 0.04 eV per atom
* spin magnetization: 0.00 μB/atom
* space-group type: C2/m (12)

abc: 6.0037 6.0037 11.4140
angles: 95.02 95.02 119.95
Positions (direct):
Dy: 0.3333 0.6667 0.0000
Dy: 0.6667 0.3333 0.0000
Y: 0.0000 0.0000 0.0000
Er: 0.9133 0.5794 0.7406
Er: 0.7528 0.7528 0.2594
Er: 0.0867 0.4206 0.2594
Er: 0.5794 0.9133 0.7406
Er: 0.2472 0.2472 0.7406
Er: 0.4206 0.0867 0.2594
Sc: 0.1666 0.8334 0.5000
Sc: 0.8334 0.1666 0.5000
Sc: 0.5000 0.5000 0.5000

=====

This record from the Alexandria database describes ZnHg2Br after structural relaxation. The functional is PBE.

* spin magnetization: 0.00 μB/atom
* space-group type: P2/m (10)
* formation energy from raw total energies: -0.03 eV/atom

abc: 4.1302 4.1370 6.5899
angles: 83.56 90.00 90.00
Positions (direct):
Br: 0.0000 0.0000 0.5000
Hg: 0.0000 0.0000 0.0000
Hg: 0.5000 0.5000 0.0000
Zn: 0.5000 0.5000 0.5000

=====

This record from the Alexandria database describes Cr2HgSb after structural relaxation. The functional is PBE.

* spin magnetization: 0.14 μB/atom
* space-group type: P4mm (99)
* formation energy from raw total energies: 0.29 eV/atom

abc: 3.0770 3.0770 8.2163
angles: 90.00 90.00 90.00
Positions (direct):
Cr: 0.0000 0.0000 0.0484
Cr: 0.5000 0.5000 0.1947
Hg: 0.0000 0.0000 0.4351
Sb: 0.5000 0.5000 0.8218

=====

This record from the Alexandria database describes Pr2Ho3TmSe6 after structural relaxation. The functional is PBE.

* spin magnetization: 0.00 μB/atom
* space-group type: C2/m (12)
* formation energy from raw total energies: -1.75 eV/atom

abc: 4.0864 8.3196 9.2253
angles: 103.34 102.80 90.00
Positions (direct):
Pr: 0.8305 0.6626 0.6610
Pr: 0.1695 0.3374 0.3390
Ho: 0.5000 0.5000 0.0000
Ho: 0.8277 0.1653 0.6554
Ho: 0.1723 0.8347 0.3446
Tm: 0.5000 0.0000 0.0000
Se: 0.3372 0.9308 0.6743
Se: 0.6608 0.5940 0.3217
Se: 0.6628 0.0692 0.3257
Se: 0.9948 0.2440 0.9897
Se: 0.0052 0.7560 0.0103
Se: 0.3392 0.4060 0.6783

=====

This record from the Alexandria database describes As2Au after structural relaxation. The functional is PBE.

* ΔH_f (0 K): 0.24 eV per atom
* spin magnetization: 0.00 μB/atom
* space-group type: Imma (74)

abc: 11.1200 11.1200 11.1200
angles: 164.97 158.90 26.00
Positions (direct):
As: 0.7880 0.0380 0.7500
As: 0.2120 0.9620 0.2500
As: 0.9403 0.1903 0.7500
As: 0.0597 0.8097 0.2500
Au: 0.3932 0.6432 0.7500
Au: 0.6068 0.3568 0.2500

=====

This record from the Alexandria database describes La6Mg23Sb after structural relaxation. The functional is PBE.

* spin magnetization: 0.00 μB/atom
* space-group type: Fm-3m (225)
* formation energy from raw total energies: -0.19 eV/atom

abc: 10.3938 10.3938 10.3938
angles: 60.00 60.00 60.00
Positions (direct):
La: 0.7827 0.7827 0.2173
La: 0.2173 0.7827 0.2173
La: 0.7827 0.2173 0.2173
La: 0.2173 0.2173 0.7827
La: 0.7827 0.2173 0.7827
La: 0.2173 0.7827 0.7827
Mg: 0.8294 0.8294 0.5119
Mg: 0.8294 0.5119 0.8294
Mg: 0.5119 0.8294 0.8294
Mg: 0.8294 0.8294 0.8294
Mg: 0.1706 0.1706 0.4881
Mg: 0.1706 0.4881 0.1706
Mg: 0.4881 0.1706 0.1706
Mg: 0.1706 0.1706 0.1706
Mg: 0.6233 0.6233 0.1301
Mg: 0.6233 0.1301 0.6233
Mg: 0.1301 0.6233 0.6233
Mg: 0.6233 0.6233 0.6233
Mg: 0.3767 0.3767 0.8699
Mg: 0.3767 0.8699 0.3767
Mg: 0.8699 0.3767 0.3767
Mg: 0.3767 0.3767 0.3767
Mg: 0.0000 0.0000 0.5000
Mg: 0.5000 0.0000 0.5000
Mg: 0.0000 0.5000 0.5000
Mg: 0.5000 0.5000 0.0000
Mg: 0.0000 0.5000 0.0000
Mg: 0.5000 0.0000 0.0000
Mg: 0.5000 0.5000 0.5000
Sb: 0.0000 0.0000 0.0000

=====

This record from the Alexandria database describes PrMg15Cd4 after structural relaxation. The functional is PBE.

* ΔH_f (0 K): -0.07 eV per atom
* spin magnetization: 0.00 μB/atom
* space-group type: P4/mmm (123)

abc: 4.6556 4.6556 21.2726
angles: 90.00 90.00 90.00
Positions (direct):
Pr: 0.0000 0.0000 0.0000
Mg: 0.5000 0.5000 0.0000
Mg: 0.5000 0.5000 0.2108
Mg: 0.5000 0.5000 0.4010
Mg: 0.5000 0.5000 0.5990
Mg: 0.5000 0.5000 0.7892
Mg: 0.5000 0.0000 0.1117
Mg: 0.5000 0.0000 0.3043
Mg: 0.5000 0.0000 0.5000
Mg: 0.5000 0.0000 0.6957
Mg: 0.5000 0.0000 0.8883
Mg: 0.0000 0.5000 0.1117
Mg: 0.0000 0.5000 0.3043
Mg: 0.0000 0.5000 0.5000
Mg: 0.0000 0.5000 0.6957
Mg: 0.0000 0.5000 0.8883
Cd: 0.0000 0.0000 0.2052
Cd: 0.0000 0.0000 0.4038
Cd: 0.0000 0.0000 0.5962
Cd: 0.0000 0.0000 0.7948

=====

This record from the Alexandria database describes TlPbN2O after structural relaxation. The functional is PBE.

* spin magnetization: 0.56 μB/atom
* space-group type: P4/mmm (123)
* formation energy from raw total energies: 1.28 eV/atom

abc: 4.5222 4.5222 4.4676
angles: 90.00 90.00 90.00
Positions (direct):
Pb: 0.5000 0.5000 0.5000
Tl: 0.0000 0.0000 0.0000
O: 0.0000 0.0000 0.5000
N: 0.0000 0.5000 0.0000
N: 0.5000 0.0000 0.0000

=====

This record from the Alexandria database describes Si2B4Sb after structural relaxation. The functional is PBE.

* spin magnetization: 0.00 μB/atom
* space-group type: I4/mmm (139)
* formation energy from raw total energies: 1.74 eV/atom

abc: 4.4590 4.4590 6.3046
angles: 69.29 69.29 90.00
Positions (direct):
Sb: 0.0000 0.0000 0.0000
Si: 0.6055 0.6055 0.7890
Si: 0.3945 0.3945 0.2110
B: 0.7844 0.7844 0.4312
B: 0.2156 0.2156 0.5688
B: 0.0000 0.5000 0.0000
B: 0.5000 0.0000 0.0000

=====

Going through the records in order, we get raw total energy values of -4.452, -5.685, -3.153, -5.125, -0.922, -5.629, -5.807, -3.951, -2.539, -1.687, -4.253, -4.213 eV per atom.